Entry a
Here is a geometry-optimized ZnTcP2O structure from the Alexandria database. Energies are from GGA-PBE.

Cell: 4.727 4.727 3.574 Å, 90.00 90.00 90.00°
Fractional coordinates of all 5 atoms:
Zn  0.000  0.000  0.000
Tc  0.500  0.500  0.500
P  0.000  0.500  0.000
P  0.500  0.000  0.000
O  0.000  0.000  0.500

Calculated values
Density = 5.02 g cm⁻³


Entry b
Here is a geometry-optimized ZnTcP2O structure from the Alexandria database. Energies are from GGA-PBE.

Cell: 4.776 4.776 3.701 Å, 90.00 90.00 90.00°
Fractional coordinates of all 5 atoms:
Zn  0.000  0.000  0.000
Tc  0.500  0.500  0.500
P  0.000  0.500  0.500
P  0.500  0.000  0.500
O  0.500  0.500  0.000

Calculated values
Density = 4.75 g cm⁻³


Which is most stable, and by how much? entry b, by 846 meV per atom.


Entry a
Here is a geometry-optimized TeP2O2 structure from the Alexandria database. Energies are from GGA-PBE.

Cell: 4.063 4.063 4.247 Å, 90.00 90.00 90.00°
Fractional coordinates of all 5 atoms:
Te  0.000  0.000  0.000
P  0.000  0.500  0.500
P  0.500  0.000  0.500
O  0.500  0.500  0.000
O  0.500  0.500  0.500

Calculated values
Density = 5.25 g cm⁻³


Entry b
Here is a geometry-optimized TeP2O2 structure from the Alexandria database. Energies are from GGA-PBE.

Cell: 5.142 5.142 3.888 Å, 90.00 90.00 90.00°
Fractional coordinates of all 5 atoms:
Te  0.000  0.000  0.000
P  0.000  0.500  0.000
P  0.500  0.000  0.000
O  0.000  0.000  0.500
O  0.500  0.500  0.500

Calculated values
Density = 3.58 g cm⁻³


Which is most stable, and by how much? entry a, by 590 meV per atom.


Entry a
Here is a geometry-optimized TeP2O2 structure from the Alexandria database. Energies are from GGA-PBE.

Cell: 3.721 3.721 4.785 Å, 90.00 90.00 90.00°
Fractional coordinates of all 5 atoms:
Te  0.000  0.000  0.000
P  0.500  0.500  0.000
P  0.500  0.500  0.500
O  0.000  0.500  0.500
O  0.500  0.000  0.500

Calculated values
Density = 5.55 g cm⁻³


Entry b
Here is a geometry-optimized TeP2O2 structure from the Alexandria database. Energies are from GGA-PBE.

Cell: 3.884 3.884 5.566 Å, 90.00 90.00 90.00°
Fractional coordinates of all 5 atoms:
Te  0.000  0.000  0.000
P  0.000  0.000  0.500
P  0.500  0.500  0.500
O  0.000  0.500  0.000
O  0.500  0.000  0.000

Calculated values
Density = 4.38 g cm⁻³


Which is most stable, and by how much? entry a, by 349 meV per atom.